A relaxed ZrTiNbMo crystal. Source: the Alexandria database, functional PBE-GGA.

a = 4.683 Å, b = 4.683 Å, c = 4.683 Å
α = 60.00°, β = 60.00°, γ = 60.00°
Last column: magnetic moment on the atom in μB.
Positions (direct):
Zr1 0.750 0.750 0.750  0.09
Mo1 0.000 0.000 0.000  -0.02
Nb1 0.250 0.250 0.250  0.10
Ti1 0.500 0.500 0.500  0.37

Output
Total magnetic moment: 0.69 μB per formula unit
Volume: 72.6 Å³/cell
Calculated formation energy: 26 meV per atom